A geometry-optimized MnZn3Br structure. Source: the Alexandria database, functional GGA-PBE.

Cell lengths 5.166, 5.166, 5.166 Å; angles 90.00, 90.00, 90.00 degrees
Each line ends with the local moment (μB).
Sites, in units of the cell vectors:
Mn 0.500 0.500 0.500  4.43
Br 0.000 0.000 0.000  -0.05
Zn 0.500 0.000 0.000  -0.04
Zn 0.000 0.500 0.000  -0.01
Zn 0.000 0.000 0.500  0.00

## Properties
- symmetry = No. 221
- M_tot (μB/atom) = 0.919
- formation energy without anion corrections (eV per atom) = 1.04

=====

A geometry-optimized MnZn3Br structure. Source: the Alexandria database, functional GGA-PBE.

Cell lengths 4.998, 4.998, 4.998 Å; angles 90.00, 90.00, 90.00 degrees
Each line ends with the local moment (μB).
Sites, in units of the cell vectors:
Zn 0.500 0.000 0.000  0.00
Zn 0.000 0.500 0.000  0.04
Zn 0.000 0.000 0.500  -0.01
Mn 0.000 0.000 0.000  3.49
Br 0.500 0.500 0.500  0.09

## Properties
- symmetry = No. 221
- M_tot (μB/atom) = 0.806
- formation energy without anion corrections (eV per atom) = 0.41

=====

A geometry-optimized Mn3ZnBr structure. Source: the Alexandria database, functional GGA-PBE.

Cell lengths 4.904, 4.904, 4.904 Å; angles 90.00, 90.00, 90.00 degrees
Each line ends with the local moment (μB).
Sites, in units of the cell vectors:
Mn 0.000 0.500 0.000  4.23
Mn 0.500 0.000 0.000  4.01
Mn 0.000 0.000 0.500  4.35
Zn 0.000 0.000 0.000  -0.09
Br 0.500 0.500 0.500  0.18

## Properties
- symmetry = No. 221
- M_tot (μB/atom) = 2.752
- formation energy without anion corrections (eV per atom) = 0.82

=====

A geometry-optimized ZrMnZnBr2 structure. Source: the Alexandria database, functional GGA-PBE.

Cell lengths 5.015, 5.549, 5.015 Å; angles 90.00, 90.00, 90.00 degrees
Each line ends with the local moment (μB).
Sites, in units of the cell vectors:
Zn 0.000 0.000 0.000  -0.01
Br 0.500 0.000 0.000  0.02
Br 0.000 0.000 0.500  0.01
Mn 0.500 0.500 0.500  4.32
Zr 0.000 0.500 0.000  -1.02

## Properties
- symmetry = No. 123
- M_tot (μB/atom) = 0.592
- formation energy without anion corrections (eV per atom) = 0.71

=====

A geometry-optimized ZrMnBr2 structure. Source: the Alexandria database, functional GGA-PBE.

Cell lengths 4.831, 4.831, 4.831 Å; angles 60.00, 60.00, 60.00 degrees
Each line ends with the local moment (μB).
Sites, in units of the cell vectors:
Br 0.250 0.250 0.250  0.06
Br 0.750 0.750 0.750  0.06
Mn 0.000 0.000 0.000  3.88
Zr 0.500 0.500 0.500  -0.09

## Properties
- symmetry = No. 225
- M_tot (μB/atom) = 1.057
- formation energy without anion corrections (eV per atom) = 0.06

=====

A geometry-optimized ZrMnBr2 structure. Source: the Alexandria database, functional GGA-PBE.

Cell lengths 10.135, 10.135, 10.135 Å; angles 19.23, 19.23, 19.23 degrees
Each line ends with the local moment (μB).
Sites, in units of the cell vectors:
Br 0.900 0.900 0.900  0.01
Br 0.100 0.100 0.100  0.01
Mn 0.000 0.000 0.000  4.26
Zr 0.500 0.500 0.500  -0.04

## Properties
- symmetry = No. 166
- M_tot (μB/atom) = 1.148
- formation energy without anion corrections (eV per atom) = -0.29

=====

A geometry-optimized ZrMnBr2 structure. Source: the Alexandria database, functional GGA-PBE.

Cell lengths 5.911, 5.911, 6.764 Å; angles 64.09, 64.09, 90.00 degrees
Sites, in units of the cell vectors:
Zr 0.000 0.000 0.000
Zr 0.750 0.250 0.500
Mn 0.500 0.500 0.000
Mn 0.250 0.750 0.500
Br 0.175 0.625 0.250
Br 0.375 0.425 0.750
Br 0.575 0.125 0.250
Br 0.875 0.825 0.750

## Properties
- symmetry = No. 122
- M_tot (μB/atom) = 0.000
- formation energy without anion corrections (eV per atom) = 0.50

=====

A geometry-optimized ZrMn3Br structure. Source: the Alexandria database, functional GGA-PBE.

Cell lengths 4.305, 4.305, 4.305 Å; angles 90.00, 90.00, 90.00 degrees
Sites, in units of the cell vectors:
Mn 0.000 0.000 0.500
Mn 0.000 0.500 0.000
Mn 0.500 0.000 0.000
Br 0.000 0.000 0.000
Zr 0.500 0.500 0.500

## Properties
- symmetry = No. 221
- M_tot (μB/atom) = 0.000
- formation energy without anion corrections (eV per atom) = 1.07

=====

A geometry-optimized Zr2MnBr structure. Source: the Alexandria database, functional GGA-PBE.

Cell lengths 4.974, 5.004, 3.150 Å; angles 90.00, 90.00, 90.00 degrees
Each line ends with the local moment (μB).
Sites, in units of the cell vectors:
Zr 0.000 0.000 0.000  -0.17
Zr 0.500 0.500 0.000  -0.19
Br 0.500 0.000 0.500  0.02
Mn 0.000 0.500 0.500  3.13

## Properties
- symmetry = No. 47
- M_tot (μB/atom) = 0.707
- formation energy without anion corrections (eV per atom) = 0.12

=====

A geometry-optimized Zr2MnBr structure. Source: the Alexandria database, functional GGA-PBE.

Cell lengths 5.887, 5.887, 5.887 Å; angles 141.48, 141.48, 55.62 degrees
Each line ends with the local moment (μB).
Sites, in units of the cell vectors:
Br 0.500 0.500 0.000  0.01
Zr 0.250 0.750 0.500  -0.67
Zr 0.000 0.000 0.000  -0.43
Mn 0.750 0.250 0.500  2.66

## Properties
- symmetry = No. 119
- M_tot (μB/atom) = 0.295
- formation energy without anion corrections (eV per atom) = 0.26

=====

A geometry-optimized Zr2MnBr structure. Source: the Alexandria database, functional GGA-PBE.

Cell lengths 4.775, 4.775, 4.775 Å; angles 60.00, 60.00, 60.00 degrees
Each line ends with the local moment (μB).
Sites, in units of the cell vectors:
Br 0.500 0.500 0.500  0.06
Zr 0.250 0.250 0.250  -0.22
Zr 0.750 0.750 0.750  -0.22
Mn 0.000 0.000 0.000  2.45

## Properties
- symmetry = No. 225
- M_tot (μB/atom) = 0.523
- formation energy without anion corrections (eV per atom) = 0.25

=====

A geometry-optimized Zr2MnBr structure. Source: the Alexandria database, functional GGA-PBE.

Cell lengths 5.833, 5.833, 5.833 Å; angles 148.08, 128.24, 62.11 degrees
Each line ends with the local moment (μB).
Sites, in units of the cell vectors:
Zr 0.261 0.761 0.500  -0.17
Zr 0.989 0.989 0.000  -0.22
Br 0.502 0.502 0.000  0.03
Mn 0.748 0.248 0.500  3.43

## Properties
- symmetry = No. 44
- M_tot (μB/atom) = 0.785
- formation energy without anion corrections (eV per atom) = 0.14

=====

Q: Among the records above, which one has the lowest formation energy without anion corrections?
A: number 6

=====

Please write out number 3 again, unchanged.
A geometry-optimized Mn3ZnBr structure. Source: the Alexandria database, functional GGA-PBE.

Cell lengths 4.904, 4.904, 4.904 Å; angles 90.00, 90.00, 90.00 degrees
Each line ends with the local moment (μB).
Sites, in units of the cell vectors:
Mn 0.000 0.500 0.000  4.23
Mn 0.500 0.000 0.000  4.01
Mn 0.000 0.000 0.500  4.35
Zn 0.000 0.000 0.000  -0.09
Br 0.500 0.500 0.500  0.18

## Properties
- symmetry = No. 221
- M_tot (μB/atom) = 2.752
- formation energy without anion corrections (eV per atom) = 0.82

=====

Q: Look up the M_tot of the ninth one.
A: 0.707 μB/atom